## HfSc2BeTe (PBE)

Data for a relaxed HfSc2BeTe crystal.

abc: 5.1930 5.2437 5.1930
angles: 90.00 90.00 90.00
Last column: nearest neighbours and their distance in Å.
Sites, in units of the cell vectors:
Sc 0.0000 0.0000 0.5000  2 Te 2.60
Sc 0.5000 0.0000 0.0000  2 Te 2.60
Be 0.5000 0.5000 0.5000  4 Hf 3.67, 8 Sc 3.69
Te 0.0000 0.0000 0.0000  4 Sc 2.60, 2 Hf 2.62
Hf 0.0000 0.5000 0.0000  2 Te 2.62

Properties
The calculation puts the uncorrected formation energy at 0.759 eV/atom. As for the symmetry: P4/mmm, No. 123.